Entry 1:
Crystalline KY2Tc at its relaxed geometry, computed with PBE.

Lattice parameters (Å, degrees): 5.098 5.099 4.009 90.00 90.00 90.00
Sites, in units of the cell vectors:
1 K 0.500 0.000 0.500
2 Tc 0.000 0.500 0.500
3 Y 0.000 0.000 0.000
4 Y 0.500 0.500 0.000

As for the space group: P4/mmm (123). As for the magnetization: 0.00 μB per formula unit. Its formation energy is 0.797 eV/atom. For the polymorph energy (0 for the lowest one), the calculation gives 674 meV/atom.

=====

Entry 2:
Crystalline Y2InSbTe at its relaxed geometry, computed with PBE.

Lattice parameters (Å, degrees): 5.843 5.229 5.843 90.00 90.00 90.00
Sites, in units of the cell vectors:
1 Y 0.000 0.000 0.500
2 Y 0.500 0.000 0.000
3 Sb 0.000 0.500 0.000
4 Te 0.500 0.500 0.500
5 In 0.000 0.000 0.000

As for the space group: P4/mmm (123). As for the magnetization: 0.00 μB per formula unit. As for the energy relative to the elements, uncorrected: 0.13 eV/atom.

=====

Entry 3:
Crystalline SmPb7 at its relaxed geometry, computed with PBE.

Lattice parameters (Å, degrees): 7.030 7.030 7.030 60.00 60.00 60.00
Sites, in units of the cell vectors:
1 Sm 0.000 0.000 0.000
2 Pb 0.500 0.500 0.000
3 Pb 0.500 0.000 0.500
4 Pb 0.000 0.500 0.500
5 Pb 0.500 0.000 0.000
6 Pb 0.000 0.500 0.000
7 Pb 0.000 0.000 0.500
8 Pb 0.500 0.500 0.500

As for the space group: Fm-3m (225). As for the magnetization: 0.00 μB per formula unit. Its formation energy is -0.138 eV/atom.

=====

Entry 4:
Crystalline Bi2TeSe2 at its relaxed geometry, computed with PBE.

Lattice parameters (Å, degrees): 10.717 10.717 10.717 23.02 23.02 23.02
Sites, in units of the cell vectors:
1 Bi 0.599 0.599 0.599
2 Bi 0.401 0.401 0.401
3 Te 0.000 0.000 0.000
4 Se 0.217 0.217 0.217
5 Se 0.783 0.783 0.783

As for the space group: R-3m (166). As for the magnetization: 0.00 μB per formula unit. As for the energy relative to the elements, uncorrected: -0.31 eV/atom.

=====

Entry 5:
Crystalline NiIr2Rh at its relaxed geometry, computed with PBE.

Lattice parameters (Å, degrees): 8.734 8.734 8.734 17.90 17.90 17.90
Sites, in units of the cell vectors:
1 Ni 0.500 0.500 0.500
2 Ir 0.000 0.000 0.000
3 Ir 0.247 0.247 0.247
4 Rh 0.753 0.753 0.753

As for the space group: R3m (160). As for the magnetization: 0.58 μB per formula unit. Its formation energy is 0.051 eV/atom.

=====

Entry 6:
Crystalline In8Sn3Pb at its relaxed geometry, computed with PBE.

Lattice parameters (Å, degrees): 10.819 10.819 10.819 56.36 140.98 140.98
Sites, in units of the cell vectors:
1 In 0.521 0.335 0.335
2 In 0.479 0.814 0.814
3 In 0.000 0.665 0.186
4 In 0.000 0.186 0.665
5 In 0.277 0.348 0.348
6 In 0.723 0.071 0.071
7 In 0.000 0.652 0.929
8 In 0.000 0.929 0.652
9 Sn 0.500 0.750 0.250
10 Sn 0.500 0.250 0.750
11 Sn 0.000 0.500 0.500
12 Pb 0.000 0.000 0.000

As for the space group: I-42m (121). As for the magnetization: 0.00 μB per formula unit. Its formation energy is 0.323 eV/atom.

=====

Entry 7:
Crystalline VSb2TeRu at its relaxed geometry, computed with PBE.

Lattice parameters (Å, degrees): 5.053 5.053 5.057 90.00 90.00 90.00
Sites, in units of the cell vectors:
1 Sb 0.000 0.500 0.000
2 Sb 0.500 0.000 0.000
3 V 0.000 0.000 0.000
4 Te 0.000 0.000 0.500
5 Ru 0.500 0.500 0.500

As for the space group: P4/mmm (123). As for the magnetization: 2.21 μB per formula unit. As for the energy relative to the elements, uncorrected: 0.98 eV/atom. For the polymorph energy (0 for the lowest one), the calculation gives 0 meV/atom.

=====

Entry 8:
Crystalline Tc2RuRh6 at its relaxed geometry, computed with PBE.

Lattice parameters (Å, degrees): 2.711 6.084 8.168 102.99 90.00 102.87
Sites, in units of the cell vectors:
1 Tc 0.665 0.331 0.223
2 Tc 0.335 0.669 0.777
3 Ru 0.000 0.000 0.000
4 Rh 0.333 0.666 0.107
5 Rh 0.667 0.334 0.893
6 Rh 0.668 0.336 0.554
7 Rh 0.000 0.000 0.329
8 Rh 0.000 0.000 0.671
9 Rh 0.332 0.664 0.446

As for the space group: C2/m (12). As for the magnetization: 0.00 μB per formula unit. Its formation energy is -0.031 eV/atom. For the polymorph energy (0 for the lowest one), the calculation gives 0 meV/atom.